# 1
Below is an optimized crystal structure of PmYAu, with properties calculated at the PBE level.

Values from the calculation:
Total moment   0.0 μB per formula unit
Relative energy among the computed polymorphs   4.50 kcal/mol of atoms
Calculated volume   30.28 A^3/atom
Energy   -5.240 eV per atom

a = 5.046 Å, b = 5.046 Å, c = 5.046 Å
α = 60.00°, β = 60.00°, γ = 60.00°
Element x y z (fractional)
Pm 0.500 0.500 0.500
Y 0.000 0.000 0.000
Au 0.250 0.250 0.250

---

# 2
Below is an optimized crystal structure of PmY2Au, with properties calculated at the PBE level.

Values from the calculation:
Total moment   0.0 μB per formula unit
Relative energy among the computed polymorphs   3.30 kcal/mol of atoms
Calculated volume   30.61 A^3/atom
Energy   -5.534 eV per atom

a = 3.788 Å, b = 3.788 Å, c = 10.093 Å
α = 79.18°, β = 79.18°, γ = 60.00°
Element x y z (fractional)
Pm 0.501 0.501 0.497
Y 0.265 0.265 0.204
Y 0.068 0.068 0.797
Au 0.666 0.666 0.002

---

# 3
Below is an optimized crystal structure of Pm5YAu6, with properties calculated at the PBE level.

Values from the calculation:
Total moment   0.0 μB per formula unit
Calculated volume   24.90 A^3/atom
Energy   -4.952 eV per atom

a = 5.220 Å, b = 7.302 Å, c = 9.037 Å
α = 66.17°, β = 73.15°, γ = 90.00°
Element x y z (fractional)
Pm 0.332 0.832 0.336
Pm 0.665 0.666 0.669
Pm 0.335 0.334 0.331
Pm 0.668 0.168 0.664
Pm 0.000 0.500 0.000
Au 0.837 0.081 0.327
Au 0.163 0.919 0.673
Au 0.500 0.761 0.000
Au 0.837 0.592 0.327
Au 0.163 0.408 0.673
Au 0.500 0.239 0.000
Y 0.000 0.000 0.000

---

# 4
Below is an optimized crystal structure of Pm3YAu2, with properties calculated at the PBE level.

Values from the calculation:
Total moment   0.0 μB per formula unit
Relative energy among the computed polymorphs   3.81 kcal/mol of atoms
Calculated volume   31.67 A^3/atom
Energy   -4.960 eV per atom

a = 7.190 Å, b = 7.501 Å, c = 8.755 Å
α = 115.36°, β = 114.24°, γ = 90.00°
Element x y z (fractional)
Y 0.000 0.000 0.000
Y 0.000 0.500 0.000
Pm 0.231 0.981 0.462
Pm 0.500 0.750 0.000
Pm 0.231 0.481 0.462
Pm 0.769 0.519 0.538
Pm 0.769 0.019 0.538
Pm 0.500 0.250 0.000
Au 0.154 0.860 0.719
Au 0.846 0.140 0.281
Au 0.565 0.360 0.719
Au 0.435 0.640 0.281

---

# 5
Below is an optimized crystal structure of PmYAu, with properties calculated at the PBE level.

Values from the calculation:
Total moment   0.0 μB per formula unit
Relative energy among the computed polymorphs   0.00 kcal/mol of atoms
Calculated volume   27.57 A^3/atom
Energy   -5.436 eV per atom

a = 5.039 Å, b = 7.232 Å, c = 9.080 Å
α = 90.00°, β = 90.00°, γ = 90.00°
Element x y z (fractional)
Y 0.500 0.398 0.583
Y 0.000 0.602 0.083
Y 0.000 0.102 0.417
Y 0.500 0.898 0.917
Pm 0.500 0.761 0.324
Pm 0.000 0.239 0.824
Pm 0.000 0.739 0.676
Pm 0.500 0.261 0.176
Au 0.000 0.504 0.403
Au 0.500 0.996 0.597
Au 0.000 0.004 0.097
Au 0.500 0.496 0.903

---

# 6
Below is an optimized crystal structure of PmYAu2, with properties calculated at the PBE level.

Values from the calculation:
Total moment   0.0 μB per formula unit
Relative energy among the computed polymorphs   0.00 kcal/mol of atoms
Calculated volume   25.08 A^3/atom
Energy   -5.291 eV per atom

a = 3.792 Å, b = 4.740 Å, c = 5.896 Å
α = 90.00°, β = 108.80°, γ = 90.00°
Element x y z (fractional)
Y 0.445 0.500 0.429
Au 0.170 0.500 0.878
Au 0.995 0.000 0.529
Pm 0.722 0.000 0.982

---

# 7
Below is an optimized crystal structure of Pm2Y3Au2, with properties calculated at the PBE level.

Values from the calculation:
Total moment   0.0 μB per formula unit
Calculated volume   28.71 A^3/atom
Energy   -5.564 eV per atom

a = 3.739 Å, b = 6.734 Å, c = 9.287 Å
α = 115.40°, β = 90.00°, γ = 106.12°
Element x y z (fractional)
Y 0.386 0.773 0.555
Y 0.500 0.000 0.000
Y 0.614 0.227 0.445
Pm 0.846 0.693 0.185
Pm 0.154 0.307 0.815
Au 0.168 0.336 0.234
Au 0.832 0.664 0.766

---

# 8
Below is an optimized crystal structure of Pm3Y2Au2, with properties calculated at the PBE level.

Values from the calculation:
Total moment   0.0 μB per formula unit
Calculated volume   29.27 A^3/atom
Energy   -5.290 eV per atom

a = 3.818 Å, b = 6.636 Å, c = 9.260 Å
α = 113.19°, β = 90.00°, γ = 106.72°
Element x y z (fractional)
Au 0.828 0.656 0.778
Au 0.172 0.344 0.222
Pm 0.387 0.774 0.557
Pm 0.500 0.000 0.000
Pm 0.613 0.226 0.443
Y 0.153 0.306 0.811
Y 0.847 0.694 0.189

---

# 9
Below is an optimized crystal structure of Pm4YAu4, with properties calculated at the PBE level.

Values from the calculation:
Total moment   0.0 μB per formula unit
Calculated volume   29.14 A^3/atom
Energy   -4.871 eV per atom

a = 6.146 Å, b = 9.237 Å, c = 9.237 Å
α = 90.00°, β = 90.00°, γ = 90.00°
Element x y z (fractional)
Au 0.400 0.615 0.779
Au 0.100 0.115 0.279
Au 0.100 0.885 0.721
Au 0.900 0.279 0.885
Au 0.600 0.779 0.385
Au 0.600 0.221 0.615
Au 0.400 0.385 0.221
Au 0.900 0.721 0.115
Pm 0.410 0.305 0.911
Pm 0.410 0.695 0.089
Pm 0.590 0.911 0.695
Pm 0.090 0.805 0.411
Pm 0.090 0.195 0.589
Pm 0.590 0.089 0.305
Pm 0.910 0.589 0.805
Pm 0.910 0.411 0.195
Y 0.500 0.500 0.500
Y 0.000 0.000 0.000

---

# 10
Below is an optimized crystal structure of PmYAu, with properties calculated at the PBE level.

Values from the calculation:
Total moment   0.0 μB per formula unit
Relative energy among the computed polymorphs   4.75 kcal/mol of atoms
Calculated volume   27.24 A^3/atom
Energy   -5.230 eV per atom

a = 5.231 Å, b = 3.739 Å, c = 8.757 Å
α = 90.00°, β = 107.38°, γ = 90.00°
Element x y z (fractional)
Pm 0.914 0.250 0.828
Pm 0.086 0.750 0.172
Y 0.281 0.250 0.563
Y 0.719 0.750 0.437
Au 0.426 0.750 0.852
Au 0.574 0.250 0.148

---

# 11
Below is an optimized crystal structure of Pm3YAu2, with properties calculated at the PBE level.

Values from the calculation:
Total moment   0.0 μB per formula unit
Relative energy among the computed polymorphs   0.00 kcal/mol of atoms
Calculated volume   28.11 A^3/atom
Energy   -5.125 eV per atom

a = 5.080 Å, b = 7.210 Å, c = 9.211 Å
α = 90.00°, β = 90.00°, γ = 90.00°
Element x y z (fractional)
Y 0.500 0.509 0.572
Y 0.500 0.009 0.428
Pm 0.500 0.152 0.835
Pm 0.000 0.491 0.924
Pm 0.500 0.652 0.165
Pm 0.000 0.849 0.666
Pm 0.000 0.991 0.076
Pm 0.000 0.349 0.334
Au 0.500 0.737 0.843
Au 0.500 0.237 0.157
Au 0.000 0.262 0.649
Au 0.000 0.762 0.351

---

# 12
Below is an optimized crystal structure of PmY2Au, with properties calculated at the PBE level.

Values from the calculation:
Total moment   0.0 μB per formula unit
Relative energy among the computed polymorphs   3.56 kcal/mol of atoms
Calculated volume   30.42 A^3/atom
Energy   -5.523 eV per atom

a = 3.744 Å, b = 3.744 Å, c = 10.254 Å
α = 79.48°, β = 79.48°, γ = 60.00°
Element x y z (fractional)
Y 0.735 0.735 0.796
Y 0.265 0.265 0.204
Pm 0.500 0.500 0.500
Au 0.000 0.000 0.000